A plane-wave DFT calculation with PBE-GGA was carried out for an optimized crystal structure of Ti3Be.

Cell lengths 3.9073, 3.9073, 3.9073 Å; angles 90.00, 90.00, 90.00 degrees
Closest atoms and distances in Å follow each position.
Atoms (fractional coordinates):
Ti1 0.0000 0.0000 0.5000  4 Be 2.76, 8 Ti 2.76
Ti2 0.0000 0.5000 0.0000  4 Be 2.76, 8 Ti 2.76
Ti3 0.5000 0.0000 0.0000  4 Be 2.76, 8 Ti 2.76
Be1 0.5000 0.5000 0.5000  12 Ti 2.76

DOS(E_F) in states/eV/atom: 1.128
Energy above the most stable polymorph in this dataset in eV per atom: 0.0000
Electronic total energy in eV per atom: -6.8665

---

A plane-wave DFT calculation with PBE-GGA was carried out for an optimized crystal structure of Ti5Be.

Cell lengths 6.3039, 6.3039, 3.9771 Å; angles 90.00, 90.00, 143.20 degrees
Closest atoms and distances in Å follow each position.
Atoms (fractional coordinates):
Ti1 0.0000 0.0000 0.0000  8 Ti 2.77-2.79, 4 Be 2.81
Ti2 0.1613 0.8387 0.5000  10 Ti 2.77-2.91, 2 Be 2.77
Ti3 0.3370 0.6630 0.0000  2 Be 2.79, 10 Ti 2.79-2.89
Ti4 0.6630 0.3370 0.0000  2 Be 2.79, 10 Ti 2.79-2.89
Ti5 0.8387 0.1613 0.5000  10 Ti 2.77-2.91, 2 Be 2.77
Be1 0.5000 0.5000 0.5000  12 Ti 2.77-2.81

DOS(E_F) in states/eV/atom: 1.175
Electronic total energy in eV per atom: -7.1755

---

A plane-wave DFT calculation with PBE-GGA was carried out for an optimized crystal structure of TiBe2.

Cell lengths 5.0370, 5.0370, 5.0370 Å; angles 149.38, 149.38, 43.86 degrees
Closest atoms and distances in Å follow each position.
Atoms (fractional coordinates):
Ti1 0.0000 0.0000 0.0000  10 Be 2.60-2.88, 4 Ti 2.66
Be1 0.3078 0.3078 0.0000  4 Be 2.17
Be2 0.6922 0.6922 0.0000  4 Be 2.17

DOS(E_F) in states/eV/atom: 0.692
Electronic total energy in eV per atom: -5.1860

---

A plane-wave DFT calculation with PBE-GGA was carried out for an optimized crystal structure of Ti3Be.

Cell lengths 4.4144, 4.4144, 4.4144 Å; angles 60.00, 60.00, 60.00 degrees
Closest atoms and distances in Å follow each position.
Atoms (fractional coordinates):
Ti1 0.0000 0.0000 0.0000  8 Ti 2.70
Ti2 0.2500 0.2500 0.2500  4 Be 2.70, 4 Ti 2.70
Ti3 0.7500 0.7500 0.7500  4 Ti 2.70, 4 Be 2.70
Be1 0.5000 0.5000 0.5000  8 Ti 2.70

DOS(E_F) in states/eV/atom: 1.647
Energy above the most stable polymorph in this dataset in eV per atom: 0.1482
Electronic total energy in eV per atom: -6.7183

---

Quick rundown of ρ, same order as above: 4.25, 4.36, 3.31, 4.17 g/cm³
Quick rundown of energy of formation, same order as above: -0.1, 0.1, -0.2, 0.5 eV per formula unit